No. 1
A relaxed La12Hg5Rh3 crystal. Source: Alexandria, functional PBE.

Its crystal system is cubic. The total magnetization comes out at 0.000 μB per atom. The calculation puts the formation energy at -0.0975 eV per atom.

It has space group Ia-3d (No. 230), with a = 17.7910 Å, b = 17.7910 Å, c = 17.7910 Å, α = 90.00°, β = 90.00° and γ = 90.00°. The asymmetric unit holds La at (0.0186, 0.0919, 0.6501), Hg at (0.0000, 0.0000, 0.0000), Hg at (0.0000, 0.2500, 0.3750) and Rh at (0.0000, 0.2500, 0.1250).

---

No. 2
A relaxed LaHgRh crystal. Source: Alexandria, functional PBE.

Its crystal system is tetragonal. The total magnetization comes out at 0.000 μB per atom. The calculation puts the formation energy at -0.4180 eV per atom.

It has space group I4mm (No. 107), with a = 3.6115 Å, b = 3.6115 Å, c = 10.7482 Å, α = 90.00°, β = 90.00° and γ = 90.00°. The asymmetric unit holds La at (0.0000, 0.0000, 0.0000), Hg at (0.0000, 0.0000, 0.7057) and Rh at (0.0000, 0.0000, 0.3545).

---

No. 3
A relaxed La6Hg3Rh crystal. Source: Alexandria, functional PBE.

Its crystal system is monoclinic. The total magnetization comes out at 0.000 μB per atom. The calculation puts the formation energy at -0.3890 eV per atom.

It has space group P2_1/c (No. 14), with a = 7.8381 Å, b = 8.2001 Å, c = 12.2605 Å, α = 90.00°, β = 120.95° and γ = 90.00°. The asymmetric unit holds La at (0.0668, 0.0592, 0.2458), La at (0.2211, 0.6905, 0.0820), La at (0.3501, 0.1693, 0.0620), Hg at (0.3299, 0.1147, 0.7794), Hg at (0.5000, 0.0000, 0.5000) and Rh at (0.0000, 0.0000, 0.0000).

---

No. 4
A relaxed La8Hg2Rh3 crystal. Source: Alexandria, functional PBE.

Its crystal system is monoclinic. The total magnetization comes out at 0.000 μB per atom. The calculation puts the formation energy at -0.4554 eV per atom.

It has space group P2/m (No. 10), with a = 8.6639 Å, b = 4.9632 Å, c = 10.0079 Å, α = 90.00°, β = 103.73° and γ = 90.00°. The asymmetric unit holds La at (0.0367, 0.0000, 0.3370), La at (0.1615, 0.5000, 0.9118), La at (0.3236, 0.5000, 0.6105), La at (0.4029, 0.0000, 0.1398), Hg at (0.2462, 0.5000, 0.2659), Rh at (0.0000, 0.5000, 0.5000) and Rh at (0.2829, 0.0000, 0.8099).

---

No. 5
A relaxed LaHg2Rh crystal. Source: Alexandria, functional PBE.

Its crystal system is tetragonal. The total magnetization comes out at 0.000 μB per atom. The calculation puts the formation energy at -0.2584 eV per atom.

It has space group I-42d (No. 122), with a = 4.1676 Å, b = 4.1676 Å, c = 22.6015 Å, α = 90.00°, β = 90.00° and γ = 90.00°. The asymmetric unit holds La at (0.0000, 0.0000, 0.0000), Hg at (0.2304, 0.2500, 0.6250) and Rh at (0.0000, 0.0000, 0.5000).

---

No. 6
A relaxed LaHgRh crystal. Source: Alexandria, functional PBE.

Its crystal system is cubic. The total magnetization comes out at 0.000 μB per atom. The calculation puts the formation energy at 0.0177 eV per atom.

It has space group F-43m (No. 216), with a = 6.9992 Å, b = 6.9992 Å, c = 6.9992 Å, α = 90.00°, β = 90.00° and γ = 90.00°. The asymmetric unit holds La at (0.0000, 0.0000, 0.0000), Hg at (0.2500, 0.2500, 0.7500) and Rh at (0.2500, 0.2500, 0.2500).

---

No. 7
A relaxed LaHgRh2 crystal. Source: Alexandria, functional PBE.

Its crystal system is orthorhombic. The total magnetization comes out at 0.000 μB per atom. The calculation puts the formation energy at -0.5017 eV per atom.

It has space group Pmma (No. 51), with a = 5.3778 Å, b = 4.4318 Å, c = 7.1904 Å, α = 90.00°, β = 90.00° and γ = 90.00°. The asymmetric unit holds La at (0.2500, 0.0000, 0.2254), Hg at (0.2500, 0.5000, 0.8626), Rh at (0.0000, 0.5000, 0.5000) and Rh at (0.2500, 0.0000, 0.6199).

---

No. 8
A relaxed LaHgRh crystal. Source: Alexandria, functional PBE.

Its crystal system is cubic. The total magnetization comes out at 0.000 μB per atom. The calculation puts the formation energy at -0.1002 eV per atom.

It has space group F-43m (No. 216), with a = 6.8590 Å, b = 6.8590 Å, c = 6.8590 Å, α = 90.00°, β = 90.00° and γ = 90.00°. The asymmetric unit holds La at (0.0000, 0.0000, 0.0000), Hg at (0.2500, 0.2500, 0.7500) and Rh at (0.0000, 0.0000, 0.5000).

---

No. 9
A relaxed La3Hg4Rh4 crystal. Source: Alexandria, functional PBE.

Its crystal system is orthorhombic. The total magnetization comes out at 0.000 μB per atom. The calculation puts the formation energy at -0.4539 eV per atom.

It has space group Immm (No. 71), with a = 4.0376 Å, b = 8.0793 Å, c = 15.3712 Å, α = 90.00°, β = 90.00° and γ = 90.00°. The asymmetric unit holds La at (0.0000, 0.0000, 0.0000), La at (0.0000, 0.5000, 0.1184), Hg at (0.0000, 0.3136, 0.3329), Rh at (0.0000, 0.0000, 0.2468) and Rh at (0.0000, 0.1898, 0.5000).

---

No. 10
A relaxed LaHgRh2 crystal. Source: Alexandria, functional PBE.

Its crystal system is cubic. The total magnetization comes out at 0.000 μB per atom. The calculation puts the formation energy at -0.0869 eV per atom.

It has space group F-43m (No. 216), with a = 6.9089 Å, b = 6.9089 Å, c = 6.9089 Å, α = 90.00°, β = 90.00° and γ = 90.00°. The asymmetric unit holds La at (0.0000, 0.0000, 0.0000), Hg at (0.2500, 0.2500, 0.7500), Rh at (0.0000, 0.0000, 0.5000) and Rh at (0.2500, 0.2500, 0.2500).

---

No. 11
A relaxed La4HgRh2 crystal. Source: Alexandria, functional PBE.

Its crystal system is orthorhombic. The total magnetization comes out at 0.000 μB per atom. The calculation puts the formation energy at -0.5241 eV per atom. As for the excess energy over the best structure of this formula in the dataset: 93 meV per atom.

It has space group Fdd2 (No. 43), with a = 13.5342 Å, b = 13.5701 Å, c = 9.5475 Å, α = 90.00°, β = 90.00° and γ = 90.00°. The asymmetric unit holds La at (0.0920, 0.0923, 0.0000), La at (0.0930, 0.4083, 0.8213), Hg at (0.0000, 0.0000, 0.6606) and Rh at (0.1247, 0.1254, 0.2856).

---

No. 12
A relaxed La3HgRh crystal. Source: Alexandria, functional PBE.

Its crystal system is orthorhombic. The total magnetization comes out at 0.000 μB per atom. The calculation puts the formation energy at -0.5561 eV per atom. As for the excess energy over the best structure of this formula in the dataset: 0 meV per atom.

It has space group Pnma (No. 62), with a = 8.4509 Å, b = 4.9220 Å, c = 14.4229 Å, α = 90.00°, β = 90.00° and γ = 90.00°. The asymmetric unit holds La at (0.0005, 0.2500, 0.1110), La at (0.1393, 0.2500, 0.5145), La at (0.1736, 0.7500, 0.2868), Hg at (0.1171, 0.7500, 0.6707) and Rh at (0.1940, 0.2500, 0.9515).